w.
The following is a PBE-GGA calculation of a relaxed CsRb3Li crystal, from Alexandria.

abc: 8.323 8.323 8.323
angles: 90.00 90.00 90.00
Sites, in units of the cell vectors:
Cs: 0.000 0.000 0.000
Rb: 0.000 0.000 0.500
Rb: 0.000 0.500 0.000
Rb: 0.500 0.000 0.000
Li: 0.500 0.500 0.500

Space group: Pm-3m (221)

***

x.
The following is a PBE-GGA calculation of a relaxed CsRb3Li crystal, from Alexandria.

abc: 7.546 7.546 7.546
angles: 90.00 90.00 90.00
Sites, in units of the cell vectors:
Cs: 0.000 0.000 0.000
Rb: 0.000 0.500 0.500
Rb: 0.500 0.000 0.500
Rb: 0.500 0.500 0.000
Li: 0.500 0.500 0.500

Space group: Pm-3m (221)

***

In terms of stability, x leads; the second structure lies 347 meV per atom higher.

***

w.
The following is a PBE-GGA calculation of a relaxed Cs2RbLiSb crystal, from Alexandria.

abc: 7.581 7.581 6.377
angles: 90.00 90.00 90.00
Sites, in units of the cell vectors:
Cs: 0.000 0.500 0.000
Cs: 0.500 0.000 0.000
Rb: 0.000 0.000 0.000
Li: 0.500 0.500 0.500
Sb: 0.000 0.000 0.500

Space group: P4/mmm (123)

***

x.
The following is a PBE-GGA calculation of a relaxed Cs2RbLiSb crystal, from Alexandria.

abc: 7.160 7.160 5.198
angles: 90.00 90.00 90.00
Sites, in units of the cell vectors:
Cs: 0.000 0.500 0.000
Cs: 0.500 0.000 0.000
Rb: 0.000 0.000 0.500
Li: 0.500 0.500 0.000
Sb: 0.500 0.500 0.500

Space group: P4/mmm (123)

***

In terms of stability, x leads; the second structure lies 542 meV per atom higher.

***

w.
The following is a PBE-GGA calculation of a relaxed Cs2LiRe crystal, from Alexandria.

abc: 9.160 9.160 9.160
angles: 60.00 60.00 60.00
Sites, in units of the cell vectors:
Cs: 0.000 0.000 0.000
Cs: 0.000 0.000 0.500
Cs: 0.000 0.500 0.000
Cs: 0.500 0.000 0.000
Li: 0.375 0.375 0.375
Li: 0.625 0.625 0.625
Re: 0.125 0.125 0.125
Re: 0.875 0.875 0.875

Space group: Fd-3m (227)

***

x.
The following is a PBE-GGA calculation of a relaxed Cs2LiRe crystal, from Alexandria.

abc: 6.170 6.170 6.170
angles: 60.00 60.00 60.00
Sites, in units of the cell vectors:
Cs: 0.250 0.250 0.250
Cs: 0.750 0.750 0.750
Li: 0.000 0.000 0.000
Re: 0.500 0.500 0.500

Space group: Fm-3m (225)

***

In terms of stability, x leads; the second structure lies 496 meV per atom higher.

***

w.
The following is a PBE-GGA calculation of a relaxed CsLiS2 crystal, from Alexandria.

abc: 5.349 5.349 5.349
angles: 60.00 60.00 60.00
Sites, in units of the cell vectors:
Cs: 0.000 0.000 0.000
Li: 0.500 0.500 0.500
S: 0.250 0.250 0.250
S: 0.750 0.750 0.750

Space group: Fm-3m (225)

***

x.
The following is a PBE-GGA calculation of a relaxed CsLiS2 crystal, from Alexandria.

abc: 8.908 8.908 8.908
angles: 145.96 145.96 48.91
Sites, in units of the cell vectors:
Cs: 0.375 0.625 0.750
Cs: 0.625 0.375 0.250
Li: 0.125 0.875 0.250
Li: 0.875 0.125 0.750
S: 0.000 0.000 0.000
S: 0.000 0.000 0.500
S: 0.000 0.500 0.000
S: 0.500 0.000 0.500

Space group: I4_1/amd (141)

***

y.
The following is a PBE-GGA calculation of a relaxed CsLiS2 crystal, from Alexandria.

abc: 8.594 8.594 8.594
angles: 28.57 28.57 28.57
Sites, in units of the cell vectors:
Cs: 0.000 0.000 0.000
Li: 0.500 0.500 0.500
S: 0.128 0.128 0.128
S: 0.872 0.872 0.872

Space group: R-3m (166)

***

In terms of stability, x leads; the second structure lies 676 meV per atom higher.

***

w.
The following is a PBE-GGA calculation of a relaxed CsLiSb crystal, from Alexandria.

abc: 9.210 9.210 9.210
angles: 147.53 147.53 46.58
Sites, in units of the cell vectors:
Cs: 0.177 0.177 0.000
Cs: 0.823 0.823 0.000
Li: 0.000 0.500 0.500
Li: 0.500 0.000 0.500
Sb: 0.412 0.412 0.000
Sb: 0.588 0.588 0.000

Space group: I4/mmm (139)

***

x.
The following is a PBE-GGA calculation of a relaxed CsLiSb crystal, from Alexandria.

abc: 18.600 3.594 6.339
angles: 90.00 90.00 90.00
Sites, in units of the cell vectors:
Cs: 0.072 0.250 0.249
Cs: 0.428 0.750 0.749
Cs: 0.572 0.250 0.251
Cs: 0.928 0.750 0.751
Li: 0.245 0.250 0.943
Li: 0.255 0.750 0.443
Li: 0.745 0.250 0.557
Li: 0.755 0.750 0.057
Sb: 0.145 0.750 0.745
Sb: 0.355 0.250 0.245
Sb: 0.645 0.750 0.755
Sb: 0.855 0.250 0.255

Space group: Pnma (62)

***

y.
The following is a PBE-GGA calculation of a relaxed CsLiSb crystal, from Alexandria.

abc: 5.511 5.511 4.109
angles: 90.00 90.00 120.00
Sites, in units of the cell vectors:
Cs: 0.000 0.000 0.000
Li: 0.333 0.667 0.500
Sb: 0.667 0.333 0.500

Space group: P-6m2 (187)

***

In terms of stability, w leads; the second structure lies 78 meV per atom higher.

***

w.
The following is a PBE-GGA calculation of a relaxed CsLi3Sb crystal, from Alexandria.

abc: 5.345 5.345 5.345
angles: 90.00 90.00 90.00
Sites, in units of the cell vectors:
Cs: 0.000 0.000 0.000
Li: 0.000 0.000 0.500
Li: 0.000 0.500 0.000
Li: 0.500 0.000 0.000
Sb: 0.500 0.500 0.500

Space group: Pm-3m (221)

***

x.
The following is a PBE-GGA calculation of a relaxed CsLi3Sb crystal, from Alexandria.

abc: 5.445 5.445 5.445
angles: 90.00 90.00 90.00
Sites, in units of the cell vectors:
Cs: 0.000 0.000 0.000
Li: 0.000 0.500 0.500
Li: 0.500 0.000 0.500
Li: 0.500 0.500 0.000
Sb: 0.500 0.500 0.500

Space group: Pm-3m (221)

***

In terms of stability, x leads; the second structure lies 1027 meV per atom higher.

***

w.
The following is a PBE-GGA calculation of a relaxed CsLiSb2Te crystal, from Alexandria.

abc: 5.309 5.309 5.632
angles: 90.00 90.00 90.00
Sites, in units of the cell vectors:
Cs: 0.000 0.000 0.000
Li: 0.500 0.500 0.500
Sb: 0.000 0.500 0.500
Sb: 0.500 0.000 0.500
Te: 0.500 0.500 0.000

Space group: P4/mmm (123)

***

x.
The following is a PBE-GGA calculation of a relaxed CsLiSb2Te crystal, from Alexandria.

abc: 6.325 6.325 6.581
angles: 90.00 90.00 90.00
Sites, in units of the cell vectors:
Cs: 0.000 0.000 0.000
Li: 0.500 0.500 0.500
Sb: 0.000 0.500 0.000
Sb: 0.500 0.000 0.000
Te: 0.000 0.000 0.500

Space group: P4/mmm (123)

***

In terms of stability, w leads; the second structure lies 1095 meV per atom higher.

***

w.
The following is a PBE-GGA calculation of a relaxed CsLiSc3 crystal, from Alexandria.

abc: 5.373 5.373 5.373
angles: 90.00 90.00 90.00
Sites, in units of the cell vectors:
Cs: 0.000 0.000 0.000
Li: 0.500 0.500 0.500
Sc: 0.000 0.000 0.500
Sc: 0.000 0.500 0.000
Sc: 0.500 0.000 0.000

Space group: Pm-3m (221)

***

x.
The following is a PBE-GGA calculation of a relaxed CsLiSc3 crystal, from Alexandria.

abc: 5.364 5.364 5.364
angles: 90.00 90.00 90.00
Sites, in units of the cell vectors:
Cs: 0.000 0.000 0.000
Li: 0.500 0.500 0.500
Sc: 0.000 0.500 0.500
Sc: 0.500 0.000 0.500
Sc: 0.500 0.500 0.000

Space group: Pm-3m (221)

***

In terms of stability, x leads; the second structure lies 572 meV per atom higher.

***

w.
The following is a PBE-GGA calculation of a relaxed Cs2LiSc crystal, from Alexandria.

abc: 6.861 6.861 6.861
angles: 60.00 60.00 60.00
Sites, in units of the cell vectors:
Cs: 0.250 0.250 0.250
Cs: 0.750 0.750 0.750
Li: 0.000 0.000 0.000
Sc: 0.500 0.500 0.500

Space group: Fm-3m (225)

***

x.
The following is a PBE-GGA calculation of a relaxed Cs2LiSc crystal, from Alexandria.

abc: 8.552 8.552 8.552
angles: 101.38 101.38 127.26
Sites, in units of the cell vectors:
Cs: 0.096 0.625 0.971
Cs: 0.375 0.346 0.471
Cs: 0.654 0.125 0.029
Cs: 0.875 0.904 0.529
Li: 0.000 0.000 0.000
Li: 0.750 0.250 0.500
Sc: 0.250 0.750 0.500
Sc: 0.500 0.500 0.000

Space group: I-42d (122)

***

In terms of stability, w leads; the second structure lies 47 meV per atom higher.

***

w.
The following is a PBE-GGA calculation of a relaxed CsLiSe3 crystal, from Alexandria.

abc: 5.915 5.915 5.915
angles: 90.00 90.00 90.00
Sites, in units of the cell vectors:
Cs: 0.000 0.000 0.000
Li: 0.500 0.500 0.500
Se: 0.000 0.000 0.500
Se: 0.000 0.500 0.000
Se: 0.500 0.000 0.000

Space group: Pm-3m (221)

***

x.
The following is a PBE-GGA calculation of a relaxed CsLiSe3 crystal, from Alexandria.

abc: 5.086 5.086 5.086
angles: 90.00 90.00 90.00
Sites, in units of the cell vectors:
Cs: 0.000 0.000 0.000
Li: 0.500 0.500 0.500
Se: 0.000 0.500 0.500
Se: 0.500 0.000 0.500
Se: 0.500 0.500 0.000

Space group: Pm-3m (221)

***

In terms of stability, x leads; the second structure lies 896 meV per atom higher.

***

w.
The following is a PBE-GGA calculation of a relaxed CsLi3Si crystal, from Alexandria.

abc: 5.074 5.074 5.074
angles: 90.00 90.00 90.00
Sites, in units of the cell vectors:
Cs: 0.000 0.000 0.000
Li: 0.000 0.000 0.500
Li: 0.000 0.500 0.000
Li: 0.500 0.000 0.000
Si: 0.500 0.500 0.500

Space group: Pm-3m (221)

***

x.
The following is a PBE-GGA calculation of a relaxed CsLi3Si crystal, from Alexandria.

abc: 5.147 5.147 5.147
angles: 90.00 90.00 90.00
Sites, in units of the cell vectors:
Cs: 0.000 0.000 0.000
Li: 0.000 0.500 0.500
Li: 0.500 0.000 0.500
Li: 0.500 0.500 0.000
Si: 0.500 0.500 0.500

Space group: Pm-3m (221)

***

In terms of stability, x leads; the second structure lies 1179 meV per atom higher.

***

w.
The following is a PBE-GGA calculation of a relaxed CsLi2Si2 crystal, from Alexandria.

abc: 8.481 8.481 3.311
angles: 90.00 90.00 90.00
Sites, in units of the cell vectors:
Cs: 0.000 0.000 0.000
Cs: 0.500 0.500 0.000
Li: 0.150 0.350 0.000
Li: 0.350 0.850 0.000
Li: 0.650 0.150 0.000
Li: 0.850 0.650 0.000
Si: 0.100 0.600 0.500
Si: 0.400 0.100 0.500
Si: 0.600 0.900 0.500
Si: 0.900 0.400 0.500

Space group: P4/mbm (127)

***

x.
The following is a PBE-GGA calculation of a relaxed CsLi2Si2 crystal, from Alexandria.

abc: 6.030 6.030 6.030
angles: 129.24 129.24 74.62
Sites, in units of the cell vectors:
Cs: 0.000 0.000 0.000
Li: 0.250 0.750 0.500
Li: 0.750 0.250 0.500
Si: 0.384 0.384 0.000
Si: 0.616 0.616 0.000

Space group: I4/mmm (139)

***

In terms of stability, x leads; the second structure lies 99 meV per atom higher.

***

w.
The following is a PBE-GGA calculation of a relaxed CsLiSi2 crystal, from Alexandria.

abc: 10.449 10.449 10.449
angles: 152.77 152.77 38.88
Sites, in units of the cell vectors:
Cs: 0.375 0.625 0.750
Cs: 0.625 0.375 0.250
Li: 0.125 0.875 0.250
Li: 0.875 0.125 0.750
Si: 0.000 0.000 0.000
Si: 0.000 0.000 0.500
Si: 0.000 0.500 0.000
Si: 0.500 0.000 0.500

Space group: I4_1/amd (141)

***

x.
The following is a PBE-GGA calculation of a relaxed CsLiSi2 crystal, from Alexandria.

abc: 5.322 5.322 5.322
angles: 60.00 60.00 60.00
Sites, in units of the cell vectors:
Cs: 0.000 0.000 0.000
Li: 0.500 0.500 0.500
Si: 0.250 0.250 0.250
Si: 0.750 0.750 0.750

Space group: Fm-3m (225)

***

In terms of stability, w leads; the second structure lies 553 meV per atom higher.